1.
The following is a DFT calculation (PBE) of a geometry-optimized Ho2ErAg3 structure.

Lattice parameters (Å, degrees): 3.5884 3.5884 10.8795 90.00 90.00 90.00
With the nearest neighbours (Å) after each atom.
Space group P4/mmm (No. 123)
Asymmetric unit:
Ho1 0.0000 0.0000 0.1672  8 Ag 3.12
Er1 0.0000 0.0000 0.5000  8 Ag 3.11
Ag1 0.5000 0.5000 0.0000  8 Ho 3.12
Ag2 0.5000 0.5000 0.3348  4 Er 3.11, 4 Ho 3.12

Summary:
The total moment comes out at 0.01 μB/cell. The calculation puts the energy of formation at -0.343 eV/atom. The total energy comes out at -24.25 eV/f.u.

=====

2.
The following is a DFT calculation (PBE) of a geometry-optimized HoEr2Ag3 structure.

Lattice parameters (Å, degrees): 3.5825 3.5825 10.8648 90.00 90.00 90.00
With the nearest neighbours (Å) after each atom.
Space group P4/mmm (No. 123)
Asymmetric unit:
Ho1 0.0000 0.0000 0.0000  8 Ag 3.12
Er1 0.0000 0.0000 0.3339  8 Ag 3.11
Ag1 0.5000 0.5000 0.1683  4 Er 3.11, 4 Ho 3.12
Ag2 0.5000 0.5000 0.5000  8 Er 3.11

Summary:
The total moment comes out at 0.01 μB/cell. The calculation puts the energy of formation at -0.344 eV/atom. The total energy comes out at -24.24 eV/f.u.

=====

3.
The following is a DFT calculation (PBE) of a geometry-optimized HoErAg6 structure.

Lattice parameters (Å, degrees): 5.0099 6.0944 5.2046 90.00 90.00 90.00
With the nearest neighbours (Å) after each atom.
Space group Pmm2 (No. 25)
Asymmetric unit:
Ho1 0.0000 0.0000 0.0000  12 Ag 3.00-3.08
Er1 0.5000 0.5000 0.3063  12 Ag 3.00-3.08
Ag1 0.0000 0.2542 0.4941  8 Ag 2.93-3.10, 2 Ho 3.00-3.05, 2 Er 3.08
Ag2 0.0000 0.5000 0.9781  8 Ag 2.93-3.08, 2 Er 3.03, 2 Ho 3.05
Ag3 0.5000 0.0000 0.3283  8 Ag 2.93-3.08, 2 Ho 3.03, 2 Er 3.05
Ag4 0.5000 0.2460 0.8122  8 Ag 2.93-3.10, 2 Er 3.00-3.05, 2 Ho 3.08

Summary:
The total moment comes out at 0.00 μB/cell. The calculation puts the energy of formation at -0.271 eV/atom. The total energy comes out at -28.25 eV/f.u.

=====

4.
The following is a DFT calculation (PBE) of a geometry-optimized HoErAg4 structure.

Lattice parameters (Å, degrees): 3.6990 3.6990 9.2146 90.00 90.00 90.00
With the nearest neighbours (Å) after each atom.
Space group P4/mmm (No. 123)
Asymmetric unit:
Ho1 0.0000 0.0000 0.0000  10 Ag 3.05
Er1 0.5000 0.5000 0.5000  10 Ag 3.04-3.05
Ag1 0.0000 0.0000 0.3306  5 Ag 3.01-3.12, 4 Er 3.05, 1 Ho 3.05
Ag2 0.5000 0.5000 0.1696  5 Ag 3.01-3.13, 1 Er 3.04, 4 Ho 3.05

Summary:
The total moment comes out at 0.00 μB/cell. The calculation puts the energy of formation at -0.339 eV/atom. The total energy comes out at -22.47 eV/f.u.

=====

5.
The following is a DFT calculation (PBE) of a geometry-optimized HoEr2In3Ag3 structure.

Lattice parameters (Å, degrees): 3.8824 13.5567 7.8194 90.00 90.00 90.00
With the nearest neighbours (Å) after each atom.
Space group Amm2 (No. 38)
Asymmetric unit:
Ho1 0.0000 0.0000 0.0000  5 Ag 3.08-3.16, 6 In 3.24-3.39
Er1 0.0000 0.2017 0.6053  5 Ag 3.07-3.15, 6 In 3.24-3.39
In1 0.5000 0.0000 0.6683  4 Ag 2.84-2.92
In2 0.5000 0.1324 0.2713  4 Ag 2.84-2.91
Ag1 0.0000 0.0000 0.4040  6 In 2.84, 2 Er 3.15, 1 Ho 3.16
Ag2 0.5000 0.1671 0.9035  3 In 2.91-2.92, 4 Er 3.07, 2 Ho 3.08

Summary:
The total moment comes out at 0.01 μB/cell. The total energy comes out at -34.17 eV/f.u.

=====

6.
The following is a DFT calculation (PBE) of a geometry-optimized HoEr2In3AgIr2 structure.

Lattice parameters (Å, degrees): 3.8069 13.3472 7.6972 90.00 90.00 90.00
With the nearest neighbours (Å) after each atom.
Space group Amm2 (No. 38)
Asymmetric unit:
Ho1 0.0000 0.0000 0.0000  4 Ir 3.01, 2 In 3.11, 1 Ag 3.18
Er1 0.0000 0.2063 0.3812  4 Ir 3.00, 2 In 3.11, 1 Ag 3.18
In1 0.5000 0.0000 0.3189  2 Ag 2.81, 2 Ir 2.85, 2 Ho 3.11
In2 0.5000 0.1345 0.7217  2 Ag 2.81, 2 Ir 2.84-2.85, 2 Er 3.11
Ag1 0.0000 0.0000 0.5872  6 In 2.81
Ir1 0.5000 0.1670 0.0876  3 In 2.84-2.85, 4 Er 3.00, 2 Ho 3.01

Summary:
The total moment comes out at 0.04 μB/cell. The total energy comes out at -47.98 eV/f.u.

=====

7.
The following is a DFT calculation (PBE) of a geometry-optimized Ho2ErIn3AgIr2 structure.

Lattice parameters (Å, degrees): 3.8027 13.3448 7.7156 90.00 90.00 90.00
With the nearest neighbours (Å) after each atom.
Space group Amm2 (No. 38)
Asymmetric unit:
Ho1 0.0000 0.2063 0.0000  4 Ir 3.01, 2 In 3.11, 1 Ag 3.18
Er1 0.0000 0.0000 0.3810  4 Ir 3.00, 2 In 3.10, 1 Ag 3.18
In1 0.5000 0.0000 0.0630  2 Ag 2.82, 2 Ir 2.84, 2 Er 3.10
In2 0.5000 0.1342 0.6591  2 Ag 2.81, 2 Ir 2.85-2.86, 2 Ho 3.11
Ag1 0.0000 0.0000 0.7933  6 In 2.81-2.82
Ir1 0.5000 0.1662 0.2940  3 In 2.84-2.86, 2 Er 3.00, 4 Ho 3.01

Summary:
The total moment comes out at 0.05 μB/cell. The total energy comes out at -47.99 eV/f.u.

=====

8.
The following is a DFT calculation (PBE) of a geometry-optimized HoEr2In3NiAg2 structure.

Lattice parameters (Å, degrees): 3.8198 13.4320 7.7464 90.00 90.00 90.00
With the nearest neighbours (Å) after each atom.
Space group Amm2 (No. 38)
Asymmetric unit:
Ho1 0.0000 0.0000 0.0000  4 Ag 3.05, 1 Ni 3.09, 6 In 3.31-3.33
Er1 0.0000 0.1992 0.5980  4 Ag 3.04, 1 Ni 3.09, 6 In 3.31-3.33
In1 0.5000 0.0000 0.6482  2 Ni 2.71, 2 Ag 2.97
In2 0.5000 0.1248 0.2742  2 Ni 2.72, 2 Ag 2.96
Ni1 0.0000 0.0000 0.3992  6 In 2.71-2.72
Ag1 0.5000 0.1671 0.8987  3 In 2.96-2.97, 4 Er 3.04, 2 Ho 3.05

Summary:
The total moment comes out at 0.00 μB/cell. The total energy comes out at -37.23 eV/f.u.

=====

9.
The following is a DFT calculation (PBE) of a geometry-optimized HoEr2In3Ni2Ag structure.

Lattice parameters (Å, degrees): 3.8311 13.0954 7.5586 90.00 90.00 90.00
With the nearest neighbours (Å) after each atom.
Space group Amm2 (No. 38)
Asymmetric unit:
Ho1 0.0000 0.0000 0.0000  4 Ni 2.99, 6 In 3.06-3.34, 1 Ag 3.10
Er1 0.0000 0.2052 0.6152  4 Ni 2.98, 2 In 3.06, 1 Ag 3.10
In1 0.5000 0.0000 0.6841  2 Ni 2.78, 2 Ag 2.82, 2 Ho 3.06
In2 0.5000 0.1372 0.2734  2 Ni 2.76-2.77, 2 Ag 2.82, 2 Er 3.06
Ni1 0.5000 0.1671 0.9101  3 In 2.76-2.78, 4 Er 2.98, 2 Ho 2.99
Ag1 0.0000 0.0000 0.4106  6 In 2.82, 2 Er 3.10, 1 Ho 3.10

Summary:
The total moment comes out at 0.01 μB/cell. The total energy comes out at -40.04 eV/f.u.

=====

10.
The following is a DFT calculation (PBE) of a geometry-optimized Ho2ErIn3AgPd2 structure.

Lattice parameters (Å, degrees): 3.7680 13.5335 7.8154 90.00 90.00 90.00
With the nearest neighbours (Å) after each atom.
Space group Amm2 (No. 38)
Asymmetric unit:
Ho1 0.0000 0.2041 0.0000  4 Pd 3.03, 6 In 3.14-3.38, 1 Ag 3.19
Er1 0.0000 0.0000 0.6123  4 Pd 3.02, 6 In 3.14-3.38, 1 Ag 3.19
In1 0.5000 0.0000 0.9345  2 Ag 2.83, 2 Pd 2.88, 2 Er 3.14
In2 0.5000 0.1347 0.3391  2 Ag 2.83, 2 Pd 2.88-2.90, 2 Ho 3.14
Ag1 0.0000 0.0000 0.2043  6 In 2.83
Pd1 0.5000 0.1661 0.7039  3 In 2.88-2.90, 2 Er 3.02, 4 Ho 3.03

Summary:
The total moment comes out at 0.03 μB/cell. The total energy comes out at -41.32 eV/f.u.

=====

11.
The following is a DFT calculation (PBE) of a geometry-optimized Ho2ErIn3AgPt2 structure.

Lattice parameters (Å, degrees): 3.7359 13.5436 7.8214 90.00 90.00 90.00
With the nearest neighbours (Å) after each atom.
Space group Amm2 (No. 38)
Asymmetric unit:
Ho1 0.0000 0.2047 0.0000  4 Pt 3.02, 2 In 3.13, 1 Ag 3.20
Er1 0.0000 0.0000 0.3859  4 Pt 3.01, 2 In 3.13, 1 Ag 3.20
In1 0.5000 0.0000 0.0649  2 Ag 2.82, 2 Pt 2.89, 2 Er 3.13
In2 0.5000 0.1347 0.6606  2 Ag 2.82, 2 Pt 2.89, 2 Ho 3.13
Ag1 0.0000 0.0000 0.7953  6 In 2.82
Pt1 0.5000 0.1666 0.2954  3 In 2.89, 2 Er 3.01, 4 Ho 3.02

Summary:
The total moment comes out at 0.01 μB/cell. The total energy comes out at -44.29 eV/f.u.

=====

12.
The following is a DFT calculation (PBE) of a geometry-optimized HoEr2In3AgPt2 structure.

Lattice parameters (Å, degrees): 3.7322 13.5363 7.8131 90.00 90.00 90.00
With the nearest neighbours (Å) after each atom.
Space group Amm2 (No. 38)
Asymmetric unit:
Ho1 0.0000 0.0000 0.0000  4 Pt 3.01, 2 In 3.13, 1 Ag 3.20
Er1 0.0000 0.2047 0.3860  4 Pt 3.01, 2 In 3.13, 1 Ag 3.20
In1 0.5000 0.0000 0.3212  2 Ag 2.81, 2 Pt 2.89, 2 Ho 3.13
In2 0.5000 0.1347 0.7254  2 Ag 2.81, 2 Pt 2.89, 2 Er 3.13
Ag1 0.0000 0.0000 0.5907  6 In 2.81
Pt1 0.5000 0.1668 0.0907  3 In 2.89, 4 Er 3.01, 2 Ho 3.01

Summary:
The total moment comes out at 0.01 μB/cell. The total energy comes out at -44.27 eV/f.u.